ScTcW2: optimized geometry, PBE.

```
ScTcW2
1.0
7.428 0.000 0.000
0.000 7.428 0.000
3.714 3.714 2.676
W Tc Sc
4 2 2
direct
0.875 0.915 0.750
0.665 0.125 0.250
0.085 0.625 0.250
0.375 0.335 0.750
0.000 0.000 0.000
0.750 0.250 0.500
0.500 0.500 0.000
0.250 0.750 0.500
```

## Properties
ΔE_f in eV/f.u.: 2.69
Energy above the lowest structure with this stoichiometry in eV per atom: 0.7493
Symmetry: No. 122